Computed, not measured: an optimized crystal structure of LaY2Ga at the GGA-PBE level of DFT.

Values from the calculation:
* total energy: -21.76 eV per cell
* distance to the lowest polymorph of the same formula: 76 meV per atom
* calculated volume: 28.01 Å³/atom

CIF file:
```
data_LaY2Ga
_chemical_formula_sum 'La1 Y2 Ga1'
_cell_length_a 4.849
_cell_length_b 4.849
_cell_length_c 4.765
_cell_angle_alpha 90.00
_cell_angle_beta 90.00
_cell_angle_gamma 90.00
_space_group_name_H-M_alt 'P 4/m m m'
_space_group_IT_number 123
_space_group_name_Hall '-P 4 2'
loop_
_atom_site_label
_atom_site_type_symbol
_atom_site_fract_x
_atom_site_fract_y
_atom_site_fract_z
La1 La 0.000 0.000 0.000
Y1 Y 0.000 0.500 0.500
Ga1 Ga 0.500 0.500 0.000
```


Computed, not measured: an optimized crystal structure of LaY2Ga4 at the GGA-PBE level of DFT.

Values from the calculation:
* total energy: -69.46 eV per cell
* calculated volume: 24.18 Å³/atom

CIF file:
```
data_LaY2Ga4
_chemical_formula_sum 'La2 Y4 Ga8'
_cell_length_a 4.193
_cell_length_b 4.390
_cell_length_c 18.389
_cell_angle_alpha 90.00
_cell_angle_beta 90.00
_cell_angle_gamma 90.00
_space_group_name_H-M_alt 'I m m m'
_space_group_IT_number 71
_space_group_name_Hall '-I 2 2'
loop_
_atom_site_label
_atom_site_type_symbol
_atom_site_fract_x
_atom_site_fract_y
_atom_site_fract_z
La1 La 0.000 0.000 0.000
Y1 Y 0.000 0.500 0.315
Ga1 Ga 0.000 0.000 0.431
Ga2 Ga 0.000 0.500 0.149
```


Computed, not measured: an optimized crystal structure of LaYGa3 at the GGA-PBE level of DFT.

Values from the calculation:
* total energy: -95.64 eV per cell
* distance to the lowest polymorph of the same formula: 0 meV per atom
* calculated volume: 24.17 Å³/atom

CIF file:
```
data_LaYGa3
_chemical_formula_sum 'La4 Y4 Ga12'
_cell_length_a 4.396
_cell_length_b 25.904
_cell_length_c 4.245
_cell_angle_alpha 90.00
_cell_angle_beta 90.00
_cell_angle_gamma 90.00
_space_group_name_H-M_alt 'C m c m'
_space_group_IT_number 63
_space_group_name_Hall '-C 2c 2'
loop_
_atom_site_label
_atom_site_type_symbol
_atom_site_fract_x
_atom_site_fract_y
_atom_site_fract_z
La1 La 0.000 0.074 0.250
Y1 Y 0.000 0.204 0.750
Ga1 Ga 0.000 0.322 0.750
Ga2 Ga 0.000 0.378 0.250
Ga3 Ga 0.000 0.476 0.250
```


Computed, not measured: an optimized crystal structure of LaYGa4 at the GGA-PBE level of DFT.

Values from the calculation:
* total energy: -55.03 eV per cell
* distance to the lowest polymorph of the same formula: 0 meV per atom
* calculated volume: 22.65 Å³/atom

CIF file:
```
data_LaYGa4
_chemical_formula_sum 'La2 Y2 Ga8'
_cell_length_a 4.274
_cell_length_b 4.274
_cell_length_c 14.883
_cell_angle_alpha 90.00
_cell_angle_beta 90.00
_cell_angle_gamma 90.00
_space_group_name_H-M_alt 'I -4 m 2'
_space_group_IT_number 119
_space_group_name_Hall 'I -4 -2'
loop_
_atom_site_label
_atom_site_type_symbol
_atom_site_fract_x
_atom_site_fract_y
_atom_site_fract_z
La1 La 0.000 0.000 0.000
Y1 Y 0.000 0.500 0.750
Ga1 Ga 0.000 0.000 0.415
Ga2 Ga 0.000 0.500 0.168
```


One value per record, in order, for D(E_F): 1.53; 0.61; 0.60; 0.60 states/eV per atom.
One value per record, in order, for calculated formation energy: -0.221; -0.681; -0.688; -0.669 eV per atom.